Entry 1:
A relaxed structure of ZnSnTe2, computed with PBE-GGA.

extended XYZ file:
```
8
Lattice="-0.066 4.550 -5.214 -6.016 2.539 2.292 0.015 7.614 2.052" Properties=species:S:1:pos:R:3 pbc="T T T"
Sn 0.000 0.000 0.000
Sn -1.546 7.854 -2.311
Zn -3.041 3.544 -1.461
Te -4.990 11.777 -1.140
Te -2.591 8.504 0.565
Te -0.786 4.822 -2.181
Zn -4.521 6.848 1.441
Te -3.768 4.302 1.016
```

Space-group type: No. 122
E above lowest polymorph (meV per atom): 0
Crystal system: tetragonal

***

Entry 2:
A relaxed structure of Zn2Sn2Te, computed with PBE-GGA.

extended XYZ file:
```
5
Lattice="4.544 0.000 0.000 0.000 4.544 0.000 2.272 2.272 5.998" Properties=species:S:1:pos:R:3 pbc="T T T"
Zn 4.544 4.544 4.783
Sn 4.544 2.272 2.999
Te 0.000 0.000 0.000
Zn 2.272 2.272 1.215
Sn 2.272 4.544 2.999
```

Space-group type: No. 139
E above lowest polymorph (meV per atom): 75
Crystal system: tetragonal

***

Entry 3:
A relaxed structure of ZnSnTe2, computed with PBE-GGA.

extended XYZ file:
```
4
Lattice="-3.810 6.294 6.964 -5.091 3.055 8.208 -1.670 4.152 9.088" Properties=species:S:1:pos:R:3 pbc="T T T"
Te -1.130 1.443 2.592
Te -9.442 12.057 21.667
Zn -5.286 6.750 12.130
Sn 0.000 0.000 0.000
```

Space-group type: No. 166
E above lowest polymorph (meV per atom): 241
Crystal system: trigonal

***

Entry 4:
A relaxed structure of Zn2SnTe4, computed with PBE-GGA.

extended XYZ file:
```
7
Lattice="-3.479 2.008 -4.642 -4.034 -4.501 1.076 -3.036 3.642 3.851" Properties=species:S:1:pos:R:3 pbc="T T T"
Zn -3.535 -0.430 2.464
Te -2.815 0.196 -0.050
Sn 0.000 0.000 0.000
Te -6.179 0.056 2.411
Zn -3.258 2.825 -0.396
Te -5.931 2.966 -0.146
Te -6.174 -0.919 -1.644
```

Space-group type: No. 111
Crystal system: tetragonal

***

Entry 5:
A relaxed structure of Zn2SnTe, computed with PBE-GGA.

extended XYZ file:
```
4
Lattice="-4.062 -1.052 -2.830 -4.032 3.057 0.125 -1.111 2.888 -4.005" Properties=species:S:1:pos:R:3 pbc="T T T"
Te -4.603 2.447 -3.355
Zn -2.301 1.223 -1.678
Sn 0.000 0.000 0.000
Zn -6.904 3.670 -5.033
```

Space-group type: No. 225
E above lowest polymorph (meV per atom): 189
Crystal system: cubic

***

Entry 6:
A relaxed structure of ZnSn2Te2, computed with PBE-GGA.

extended XYZ file:
```
10
Lattice="8.336 0.000 0.000 0.000 8.336 0.000 0.000 0.000 4.263" Properties=species:S:1:pos:R:3 pbc="T T T"
Sn 2.957 1.211 2.132
Sn 7.125 2.957 2.132
Sn 5.379 7.125 2.132
Zn 0.000 0.000 0.000
Te 1.372 2.796 0.000
Sn 1.211 5.379 2.132
Te 6.964 5.540 0.000
Te 2.796 6.964 0.000
Zn 4.168 4.168 0.000
Te 5.540 1.372 0.000
```

Space-group type: No. 127
E above lowest polymorph (meV per atom): 44
Crystal system: tetragonal

***

Entry 7:
A relaxed structure of ZnSn2Te2, computed with PBE-GGA.

extended XYZ file:
```
5
Lattice="-2.897 4.516 -1.294 -2.032 0.166 5.129 2.611 6.138 3.806" Properties=species:S:1:pos:R:3 pbc="T T T"
Sn -1.375 6.497 2.214
Te -0.997 3.439 2.463
Te -1.322 7.381 5.177
Zn 0.000 0.000 0.000
Sn -0.943 4.322 5.426
```

Space-group type: No. 139
E above lowest polymorph (meV per atom): 157
Crystal system: tetragonal

***

Entry 8:
A relaxed structure of Zn2SnTe, computed with PBE-GGA.

extended XYZ file:
```
8
Lattice="6.492 0.000 0.000 0.000 6.492 0.000 3.246 3.246 5.586" Properties=species:S:1:pos:R:3 pbc="T T T"
Zn 4.869 4.849 4.189
Sn 3.246 6.492 2.793
Zn 1.603 4.869 1.396
Te 6.492 3.246 2.793
Zn 8.115 8.135 4.189
Zn 4.889 1.623 1.396
Sn 3.246 3.246 0.000
Te 0.000 0.000 0.000
```

Space-group type: No. 122
E above lowest polymorph (meV per atom): 0
Crystal system: tetragonal

***

Entry 9:
A relaxed structure of ZnSn2Te2, computed with PBE-GGA.

extended XYZ file:
```
10
Lattice="-8.218 -0.387 0.526 0.603 -1.938 7.990 -0.132 4.194 1.027" Properties=species:S:1:pos:R:3 pbc="T T T"
Zn -3.807 -1.163 4.258
Te -2.747 1.652 1.985
Te -6.750 1.117 3.656
Te -5.000 0.216 7.558
Sn -6.607 -1.587 5.628
Zn 0.000 0.000 0.000
Sn -5.239 -0.539 1.527
Te -0.997 0.751 5.887
Sn -1.007 -0.739 2.888
Sn -2.376 -1.787 6.989
```

Space-group type: No. 127
E above lowest polymorph (meV per atom): 0
Crystal system: tetragonal

***

Entry 10:
A relaxed structure of Zr4SnTe5, computed with PBE-GGA.

extended XYZ file:
```
10
Lattice="-2.055 -3.142 -1.430 4.594 -5.154 4.724 -5.653 3.431 6.226" Properties=species:S:1:pos:R:3 pbc="T T T"
Te -4.599 -1.308 3.839
Sn -1.027 -1.571 -0.715
Zr -4.202 -3.610 8.326
Zr -2.929 -1.324 1.473
Te -2.381 -3.794 6.113
Te 1.484 -3.556 5.682
Te 1.269 -4.148 1.647
Zr -0.186 -3.541 8.048
Te -0.734 -1.071 3.408
Zr 1.088 -1.255 1.194
```

Space-group type: No. 12
Crystal system: monoclinic

***

Entry 11:
A relaxed structure of Zr8SnTe2, computed with PBE-GGA.

extended XYZ file:
```
11
Lattice="-1.270 4.089 -3.233 -6.741 -3.319 0.648 2.248 3.796 6.117" Properties=species:S:1:pos:R:3 pbc="T T T"
Zr -3.158 1.645 3.052
Zr -2.605 2.922 0.480
Zr -2.076 -0.241 0.342
Zr -3.687 4.807 3.190
Zr -5.243 0.414 0.329
Zr -0.520 4.153 3.203
Te -0.560 1.574 4.409
Zr -0.014 1.391 1.596
Te -3.933 -1.096 2.356
Sn -0.635 2.045 -1.616
Zr -5.749 3.175 1.936
```

Space-group type: No. 12
Crystal system: monoclinic

***

Entry 12:
A relaxed structure of Zr2SnTe2, computed with PBE-GGA.

extended XYZ file:
```
10
Lattice="-1.326 -8.013 -0.675 7.853 -1.143 -1.858 0.786 -0.432 3.589" Properties=species:S:1:pos:R:3 pbc="T T T"
Zr 0.305 -5.364 -0.713
Zr 3.961 -7.566 -1.779
Te 5.251 -2.095 0.504
Te 2.062 -7.494 0.552
Te 6.273 -6.346 -0.232
Te 1.040 -3.242 1.288
Sn 3.263 -4.578 -1.267
Sn 0.000 0.000 0.000
Zr 6.222 -3.792 -1.820
Zr 2.566 -1.590 -0.754
```

Space-group type: No. 127
Crystal system: tetragonal

***

Entry 13:
A relaxed structure of Zr2SnTe, computed with PBE-GGA.

extended XYZ file:
```
4
Lattice="0.000 3.577 3.577 3.577 0.000 3.577 3.577 3.577 0.000" Properties=species:S:1:pos:R:3 pbc="T T T"
Zr 5.366 5.366 5.366
Te 3.577 3.577 3.577
Zr 1.789 1.789 1.789
Sn 0.000 0.000 0.000
```

Space-group type: No. 225
E above lowest polymorph (meV per atom): 19
Crystal system: cubic

***

no.,uncorrected formation energy (eV per atom),electronic total energy (eV per formula unit)
1,-0.205,-12.4
2,0.162,-12.9
3,0.037,-11.4
4,-0.302,-21.2
5,0.209,-8.9
6,0.055,-15.3
7,0.168,-14.7
8,0.020,-9.6
9,0.011,-15.5
10,-0.740,-61.3
11,-0.272,-81.7
12,-0.609,-30.4
13,-0.435,-26.0